Here is an optimized crystal structure of InNi6Mo from Alexandria via LeMat-Bulk. Energies are from PBE.

a = 6.3807 Å, b = 6.3807 Å, c = 10.4351 Å
α = 90.00°, β = 90.00°, γ = 109.45°
Element x y z (fractional)
Mo: 0.7487 0.2513 0.7500
Ni: 0.3849 0.1296 0.6302
In: 0.0000 0.0000 0.9986
Ni: 0.6151 0.8704 0.6302
Ni: 0.5000 0.5000 0.2500
Ni: 0.8637 0.6190 0.1190
In: 0.0000 0.0000 0.5014
Ni: 0.3810 0.1363 0.1190
Ni: 0.3810 0.1363 0.3810
Ni: 0.8637 0.6190 0.3810
Ni: 0.2552 0.7448 0.5094
Mo: 0.5000 0.5000 0.0037
Ni: 0.6190 0.8637 0.3810
Ni: 0.1363 0.3810 0.3810
Ni: 0.0000 0.0000 0.7500
Ni: 0.2552 0.7448 0.9906
Ni: 0.7448 0.2552 0.5094
In: 0.7531 0.2469 0.2500
Mo: 0.2513 0.7487 0.7500
Ni: 0.6151 0.8704 0.8698
In: 0.2469 0.7531 0.2500
Ni: 0.6190 0.8637 0.1190
Ni: 0.5000 0.5000 0.7500
Ni: 0.1296 0.3849 0.8698
Mo: 0.5000 0.5000 0.4963
Ni: 0.3849 0.1296 0.8698
Ni: 0.1296 0.3849 0.6302
Ni: 0.8704 0.6151 0.8698
Ni: 0.8704 0.6151 0.6302
Ni: 0.1363 0.3810 0.1190
Ni: 0.7448 0.2552 0.9906
Ni: 0.0000 0.0000 0.2500

## Properties
ΔE_f = -0.0585 eV per atom
Symmetry = Cmmm (65)



Here is an optimized crystal structure of InNi2Mo from Alexandria via LeMat-Bulk. Energies are from PBE.

a = 2.8335 Å, b = 2.8335 Å, c = 7.1966 Å
α = 90.00°, β = 90.00°, γ = 90.00°
Element x y z (fractional)
Ni: 0.0000 0.0000 0.9866
In: 0.5000 0.5000 0.2500
Ni: 0.0000 0.0000 0.5134
Mo: 0.5000 0.5000 0.7500

## Properties
ΔE_f = 0.0383 eV per atom
Symmetry = P4/mmm (123)



Here is an optimized crystal structure of InNi2Mo from Alexandria via LeMat-Bulk. Energies are from PBE.

a = 3.5421 Å, b = 2.8159 Å, c = 6.5123 Å
α = 64.45°, β = 90.00°, γ = 90.00°
Element x y z (fractional)
Ni: 0.0000 0.4662 0.5323
Ni: 0.0000 0.0338 0.9677
In: 0.5000 0.2500 0.2500
Mo: 0.5000 0.7500 0.7500

## Properties
ΔE_f = 0.0537 eV per atom
Symmetry = Pmmm (47)



Here is an optimized crystal structure of InNi2Mo from Alexandria via LeMat-Bulk. Energies are from PBE.

a = 4.7604 Å, b = 4.7604 Å, c = 4.7604 Å
α = 132.01°, β = 132.01°, γ = 70.21°
Element x y z (fractional)
Ni: 0.2500 0.7500 0.5000
Ni: 0.0000 0.0000 0.0000
In: 0.5000 0.5000 0.0000
Mo: 0.7500 0.2500 0.5000

## Properties
ΔE_f = 0.2548 eV per atom
Symmetry = I-4m2 (119)



Here is an optimized crystal structure of InNi2Mo from Alexandria via LeMat-Bulk. Energies are from PBE.

a = 4.3584 Å, b = 4.3584 Å, c = 4.3584 Å
α = 60.00°, β = 60.00°, γ = 60.00°
Element x y z (fractional)
Mo: 0.7500 0.7500 0.7500
Ni: 0.0000 0.0000 0.0000
In: 0.5000 0.5000 0.5000
Ni: 0.2500 0.2500 0.2500

## Properties
ΔE_f = 0.3037 eV per atom
Symmetry = F-43m (216)



Here is an optimized crystal structure of InNi2Mo from Alexandria via LeMat-Bulk. Energies are from PBE.

a = 2.9896 Å, b = 4.6274 Å, c = 4.2906 Å
α = 90.00°, β = 90.00°, γ = 90.00°
Element x y z (fractional)
Mo: 0.0000 0.5000 0.5000
Ni: 0.5000 0.5000 0.0000
Ni: 0.0000 0.0000 0.0000
In: 0.5000 0.0000 0.5000

## Properties
ΔE_f = 0.3441 eV per atom
Symmetry = Pmmm (47)



Here is an optimized crystal structure of InNi2Mo from Alexandria via LeMat-Bulk. Energies are from PBE.

a = 4.8725 Å, b = 4.8725 Å, c = 4.6464 Å
α = 74.66°, β = 74.66°, γ = 32.98°
Element x y z (fractional)
Mo: 0.2668 0.2668 0.1908
Ni: 0.0116 0.0116 0.0353
Ni: 0.7324 0.7324 0.7275
In: 0.4893 0.4893 0.5464

## Properties
ΔE_f = 0.1486 eV per atom
Symmetry = Cm (8)



Question: ΔE_f of number 6 (InNi2Mo)?
Answer: 0.3441 eV per atom